Below is a crystal of AsHPdBr2 relaxed with PBEsol, with properties calculated at the SCAN level.

The structure in CIF format:
```
data_AsHPdBr2
_chemical_formula_sum 'As1 H1 Pd1 Br2'
_symmetry_space_group_name_H-M 'P 4/m m m'
_symmetry_Int_Tables_number 123
_symmetry_space_group_name_Hall '-P 4 2'
_cell_length_a 4.9487
_cell_length_b 4.9487
_cell_length_c 3.4454
_cell_angle_alpha 90.00
_cell_angle_beta 90.00
_cell_angle_gamma 90.00
loop_
_atom_site_label
_atom_site_fract_x
_atom_site_fract_y
_atom_site_fract_z
_atom_site_occupancy
As1 0.0000 0.0000 0.0000 1
H1 0.0000 0.0000 0.5000 1
Pd1 0.5000 0.5000 0.0000 1
Br1 0.0000 0.5000 0.5000 1
```

Results
Density in Mg/m³: 6.73
M_tot in Bohr magnetons per cell: 0.00
Energy relative to the lowest polymorph listed for this composition in eV per atom: 0.0000